Tl2MoF: optimized geometry, PBE with a Hubbard U.

```
data_Tl2MoF
_chemical_formula_sum 'Tl8 Mo4 F4'
_cell_length_a 5.260
_cell_length_b 5.260
_cell_length_c 17.045
_cell_angle_alpha 90.00
_cell_angle_beta 90.00
_cell_angle_gamma 90.00
_symmetry_space_group_name_H-M 'I -4 2 d'
_symmetry_Int_Tables_number 122
_symmetry_space_group_name_Hall 'I -4 2bw'
loop_
_atom_site_label
_atom_site_fract_x
_atom_site_fract_y
_atom_site_fract_z
Tl1 0.164 0.250 0.125
Mo1 0.000 0.000 0.500
F1 0.000 0.000 0.000
```

Calculated values
The calculation puts the total DFT energy (no corrections) at -54.372 eV per cell.